(1)
NaSi2Pt4, optimized geometry, DFT PBE; formation energy from raw total energies = -641 meV per atom; energy above the most stable polymorph in this dataset = 0.0 kJ/mol of atoms; DOS(E_F) = 0.380 states/eV/atom; calculated total energy = -5.83 eV/atom
1.0
7.752 0.000 0.000
0.000 7.752 0.000
0.000 0.000 3.826
Na Si Pt
2 4 8
Direct
0.000 0.000 0.000 Na
0.500 0.500 0.500 Na
0.235 0.235 0.500 Si
0.265 0.735 0.000 Si
0.735 0.265 0.000 Si
0.765 0.765 0.500 Si
0.072 0.678 0.500 Pt
0.178 0.428 0.000 Pt
0.322 0.928 0.500 Pt
0.428 0.178 0.000 Pt
0.572 0.822 0.000 Pt
0.678 0.072 0.500 Pt
0.822 0.572 0.000 Pt
0.928 0.322 0.500 Pt



(2)
CuHgHRh2, optimized geometry, DFT PBE; energy above the most stable polymorph in this dataset = 14.4 kJ/mol of atoms; DOS(E_F) = 1.365 states/eV/atom; calculated total energy = -4.25 eV/atom
1.0
3.909 0.000 0.000
0.000 3.909 0.000
0.000 0.000 4.258
Cu Hg H Rh
1 1 1 2
Direct
0.000 0.000 0.000 Cu
0.500 0.500 0.000 Hg
0.500 0.500 0.500 H
0.000 0.500 0.500 Rh
0.500 0.000 0.500 Rh



(3)
Ba2TeHIr, optimized geometry, DFT PBE; DOS(E_F) = 0.158 states/eV/atom; calculated total energy = -4.37 eV/atom
1.0
6.069 0.000 0.000
0.000 6.069 0.000
0.000 0.000 3.817
Ba Te H Ir
2 1 1 1
Direct
0.000 0.500 0.000 Ba
0.500 0.000 0.000 Ba
0.000 0.000 0.500 Te
0.500 0.500 0.500 H
0.500 0.500 0.000 Ir